Computed, not measured: a geometry-optimized TcTe2Rh structure at the PBE level of DFT.

a b c (Å): 4.133 4.134 6.365
angles (deg): 89.40 90.00 90.00
Element x y z (fractional)
Tc (0.500, 0.875, 0.625)
Te (0.000, 0.871, 0.875)
Rh (0.000, 0.375, 0.625)
Te (0.500, 0.379, 0.375)

Properties
Formation energy from raw total energies, eV/atom: -0.185
Distance to the lowest polymorph of the same formula, meV/atom: 0.0
Symmetry: Pm, No. 6


Computed, not measured: a geometry-optimized TcTe2Rh structure at the PBE level of DFT.

a b c (Å): 9.052 9.052 9.052
angles (deg): 21.20 21.20 21.20
Element x y z (fractional)
Te (0.905, 0.905, 0.905)
Rh (0.000, 0.000, 0.000)
Te (0.095, 0.095, 0.095)
Tc (0.500, 0.500, 0.500)

Properties
Formation energy from raw total energies, eV/atom: 0.317
Distance to the lowest polymorph of the same formula, meV/atom: 501.9
Symmetry: R-3m, No. 166


Computed, not measured: a geometry-optimized TcTe2Rh structure at the PBE level of DFT.

a b c (Å): 3.360 5.735 5.531
angles (deg): 45.87 90.00 90.00
Element x y z (fractional)
Rh (0.500, 0.500, 0.500)
Te (0.500, 0.500, 0.000)
Te (0.000, 0.000, 0.000)
Tc (0.000, 0.000, 0.500)

Properties
Formation energy from raw total energies, eV/atom: 0.201
Distance to the lowest polymorph of the same formula, meV/atom: 385.8
Symmetry: P2/m, No. 10


Computed, not measured: a geometry-optimized TcTe3Rh structure at the PBE level of DFT.

a b c (Å): 5.195 5.195 5.195
angles (deg): 90.00 90.00 90.00
Element x y z (fractional)
Te (0.000, 0.000, 0.500)
Te (0.500, 0.000, 0.000)
Rh (0.000, 0.000, 0.000)
Tc (0.500, 0.500, 0.500)
Te (0.000, 0.500, 0.000)

Properties
Formation energy from raw total energies, eV/atom: 0.944
Distance to the lowest polymorph of the same formula, meV/atom: 0.0
Symmetry: Pm-3m, No. 221


Computed, not measured: a geometry-optimized TcTe2Rh structure at the PBE level of DFT.

a b c (Å): 3.352 3.352 6.631
angles (deg): 90.00 90.00 90.00
Element x y z (fractional)
Te (0.000, 0.000, 0.501)
Tc (0.500, 0.500, 0.750)
Te (0.000, 0.000, 0.999)
Rh (0.500, 0.500, 0.250)

Properties
Formation energy from raw total energies, eV/atom: 0.188
Distance to the lowest polymorph of the same formula, meV/atom: 372.5
Symmetry: P4/mmm, No. 123


Computed, not measured: a geometry-optimized TcTe2Rh structure at the PBE level of DFT.

a b c (Å): 4.736 4.736 4.736
angles (deg): 60.00 60.00 60.00
Element x y z (fractional)
Te (0.250, 0.250, 0.250)
Rh (0.500, 0.500, 0.500)
Te (0.750, 0.750, 0.750)
Tc (0.000, 0.000, 0.000)

Properties
Formation energy from raw total energies, eV/atom: 0.260
Distance to the lowest polymorph of the same formula, meV/atom: 444.9
Symmetry: Fm-3m, No. 225


Computed, not measured: a geometry-optimized Tc4TeRh structure at the PBE level of DFT.

a b c (Å): 5.191 5.191 5.191
angles (deg): 60.00 60.00 60.00
Element x y z (fractional)
Tc (0.373, 0.373, 0.882)
Tc (0.373, 0.882, 0.373)
Te (0.750, 0.750, 0.750)
Rh (0.000, 0.000, 0.000)
Tc (0.882, 0.373, 0.373)
Tc (0.373, 0.373, 0.373)

Properties
Formation energy from raw total energies, eV/atom: 0.589
Symmetry: F-43m, No. 216


Computed, not measured: a geometry-optimized TcTeRh4 structure at the PBE level of DFT.

a b c (Å): 5.188 5.188 5.188
angles (deg): 60.00 60.00 60.00
Element x y z (fractional)
Rh (0.376, 0.376, 0.872)
Rh (0.376, 0.872, 0.376)
Rh (0.376, 0.376, 0.376)
Tc (0.750, 0.750, 0.750)
Te (0.000, 0.000, 0.000)
Rh (0.872, 0.376, 0.376)

Properties
Formation energy from raw total energies, eV/atom: 0.468
Symmetry: F-43m, No. 216


Computed, not measured: a geometry-optimized TcTe2Rh structure at the PBE level of DFT.

a b c (Å): 4.465 4.465 5.675
angles (deg): 78.16 78.16 43.87
Element x y z (fractional)
Te (0.508, 0.508, 0.494)
Rh (0.750, 0.750, 0.750)
Tc (0.250, 0.250, 0.250)
Te (0.992, 0.992, 0.006)

Properties
Formation energy from raw total energies, eV/atom: 0.192
Distance to the lowest polymorph of the same formula, meV/atom: 376.7
Symmetry: C2/m, No. 12


Computed, not measured: a geometry-optimized TcTe2Rh structure at the PBE level of DFT.

a b c (Å): 3.328 3.843 6.924
angles (deg): 90.00 90.00 90.00
Element x y z (fractional)
Te (0.000, 0.000, 0.891)
Te (0.500, 0.500, 0.364)
Tc (0.500, 0.500, 0.738)
Rh (0.000, 0.000, 0.508)

Properties
Formation energy from raw total energies, eV/atom: 0.003
Distance to the lowest polymorph of the same formula, meV/atom: 187.4
Symmetry: Pmm2, No. 25


Computed, not measured: a geometry-optimized Tc3TeRh structure at the PBE level of DFT.

a b c (Å): 4.701 4.701 4.701
angles (deg): 90.00 90.00 90.00
Element x y z (fractional)
Te (0.500, 0.500, 0.500)
Tc (0.000, 0.500, 0.000)
Tc (0.500, 0.000, 0.000)
Rh (0.000, 0.000, 0.000)
Tc (0.000, 0.000, 0.500)

Properties
Formation energy from raw total energies, eV/atom: 1.679
Distance to the lowest polymorph of the same formula, meV/atom: 0.0
Symmetry: Pm-3m, No. 221


Computed, not measured: a geometry-optimized TcTe2Rh structure at the PBE level of DFT.

a b c (Å): 7.008 7.008 7.008
angles (deg): 153.45 143.38 45.80
Element x y z (fractional)
Tc (0.187, 0.687, 0.500)
Rh (0.556, 0.556, 0.000)
Te (0.740, 0.240, 0.500)
Te (0.017, 0.017, 0.000)

Properties
Formation energy from raw total energies, eV/atom: 0.226
Distance to the lowest polymorph of the same formula, meV/atom: 410.7
Symmetry: Imm2, No. 44


Computed, not measured: a geometry-optimized TcTe2Rh structure at the PBE level of DFT.

a b c (Å): 5.960 5.960 7.243
angles (deg): 65.71 65.71 90.00
Element x y z (fractional)
Tc (0.250, 0.750, 0.500)
Te (0.375, 0.376, 0.750)
Te (0.875, 0.874, 0.750)
Rh (0.750, 0.250, 0.500)
Te (0.126, 0.625, 0.250)
Tc (0.500, 0.500, 0.000)
Te (0.624, 0.125, 0.250)
Rh (0.000, 0.000, 0.000)

Properties
Formation energy from raw total energies, eV/atom: 0.224
Distance to the lowest polymorph of the same formula, meV/atom: 408.5
Symmetry: I-42d, No. 122


Computed, not measured: a geometry-optimized TcTe2Rh structure at the PBE level of DFT.

a b c (Å): 5.581 5.581 5.581
angles (deg): 138.52 138.52 60.11
Element x y z (fractional)
Rh (0.500, 0.500, 0.000)
Te (0.000, 0.000, 0.000)
Te (0.250, 0.750, 0.500)
Tc (0.750, 0.250, 0.500)

Properties
Formation energy from raw total energies, eV/atom: 0.437
Distance to the lowest polymorph of the same formula, meV/atom: 621.8
Symmetry: I-4m2, No. 119


Computed, not measured: a geometry-optimized TcTe2Rh structure at the PBE level of DFT.

a b c (Å): 4.819 4.819 4.819
angles (deg): 60.00 60.00 60.00
Element x y z (fractional)
Tc (0.750, 0.750, 0.750)
Te (0.250, 0.250, 0.250)
Rh (0.500, 0.500, 0.500)
Te (0.000, 0.000, 0.000)

Properties
Formation energy from raw total energies, eV/atom: 0.771
Distance to the lowest polymorph of the same formula, meV/atom: 955.8
Symmetry: F-43m, No. 216


Computed, not measured: a geometry-optimized TcTe2Rh structure at the PBE level of DFT.

a b c (Å): 10.099 10.099 10.099
angles (deg): 18.42 18.42 18.42
Element x y z (fractional)
Te (0.026, 0.026, 0.026)
Tc (0.755, 0.755, 0.755)
Te (0.225, 0.225, 0.225)
Rh (0.494, 0.494, 0.494)

Properties
Formation energy from raw total energies, eV/atom: 0.215
Distance to the lowest polymorph of the same formula, meV/atom: 400.0
Symmetry: R3m, No. 160


Computed, not measured: a geometry-optimized TcTe2Rh structure at the PBE level of DFT.

a b c (Å): 8.847 8.847 8.847
angles (deg): 22.43 22.43 22.43
Element x y z (fractional)
Te (0.098, 0.098, 0.098)
Tc (0.000, 0.000, 0.000)
Rh (0.500, 0.500, 0.500)
Te (0.902, 0.902, 0.902)

Properties
Formation energy from raw total energies, eV/atom: 0.513
Distance to the lowest polymorph of the same formula, meV/atom: 697.1
Symmetry: R-3m, No. 166


Computed, not measured: a geometry-optimized TcTe2Rh structure at the PBE level of DFT.

a b c (Å): 3.215 3.215 8.620
angles (deg): 90.00 90.00 117.44
Element x y z (fractional)
Te (0.000, 0.000, 0.501)
Tc (0.500, 0.500, 0.750)
Rh (0.500, 0.500, 0.250)
Te (0.000, 0.000, 0.999)

Properties
Formation energy from raw total energies, eV/atom: 0.600
Distance to the lowest polymorph of the same formula, meV/atom: 785.0
Symmetry: Cmmm, No. 65


Computed, not measured: a geometry-optimized TcTe2Rh structure at the PBE level of DFT.

a b c (Å): 5.100 5.100 4.852
angles (deg): 79.96 79.96 38.66
Element x y z (fractional)
Te (0.752, 0.752, 0.645)
Rh (0.487, 0.487, 0.565)
Te (0.993, 0.993, 0.083)
Tc (0.268, 0.268, 0.207)

Properties
Formation energy from raw total energies, eV/atom: 0.127
Distance to the lowest polymorph of the same formula, meV/atom: 311.6
Symmetry: Cm, No. 8


Computed, not measured: a geometry-optimized Th6TcTe3Rh2 structure at the PBE level of DFT.

a b c (Å): 7.239 7.239 8.095
angles (deg): 98.58 98.58 119.98
Element x y z (fractional)
Te (0.500, 0.500, 0.500)
Te (0.833, 0.167, 0.500)
Te (0.167, 0.833, 0.500)
Th (0.260, 0.260, 0.798)
Th (0.606, 0.933, 0.799)
Th (0.933, 0.606, 0.799)
Th (0.067, 0.394, 0.201)
Tc (0.000, 0.000, 0.000)
Th (0.394, 0.067, 0.201)
Th (0.740, 0.740, 0.202)
Rh (0.333, 0.667, 0.000)
Rh (0.667, 0.333, 0.000)

Properties
Formation energy from raw total energies, eV/atom: -0.928
Symmetry: C2/m, No. 12


Computed, not measured: a geometry-optimized Th8TcTe4Rh3 structure at the PBE level of DFT.

a b c (Å): 8.366 9.100 8.367
angles (deg): 117.37 120.00 90.00
Element x y z (fractional)
Te (0.000, 0.000, 0.000)
Tc (0.000, 0.500, 0.000)
Th (0.739, 0.702, 0.971)
Rh (0.500, 0.500, 0.000)
Th (0.768, 0.298, 0.029)
Th (0.768, 0.298, 0.537)
Th (0.266, 0.299, 0.532)
Th (0.232, 0.702, 0.463)
Th (0.232, 0.702, 0.971)
Rh (0.000, 0.500, 0.500)
Rh (0.500, 0.500, 0.500)
Th (0.734, 0.701, 0.468)
Te (0.000, 0.000, 0.500)
Te (0.500, 0.000, 0.000)
Th (0.261, 0.298, 0.029)
Te (0.500, 0.000, 0.500)

Properties
Formation energy from raw total energies, eV/atom: -0.957
Symmetry: R-3m, No. 166


Computed, not measured: a geometry-optimized Th8Tc3Te4Rh structure at the PBE level of DFT.

a b c (Å): 8.369 9.092 8.369
angles (deg): 117.41 120.00 90.00
Element x y z (fractional)
Th (0.763, 0.300, 0.037)
Te (0.000, 0.000, 0.500)
Th (0.763, 0.300, 0.527)
Tc (0.000, 0.500, 0.500)
Te (0.500, 0.000, 0.000)
Th (0.266, 0.298, 0.532)
Tc (0.500, 0.500, 0.500)
Th (0.273, 0.300, 0.037)
Te (0.000, 0.000, 0.000)
Rh (0.000, 0.500, 0.000)
Th (0.237, 0.700, 0.963)
Tc (0.500, 0.500, 0.000)
Th (0.237, 0.700, 0.473)
Th (0.734, 0.702, 0.468)
Th (0.727, 0.700, 0.963)
Te (0.500, 0.000, 0.500)

Properties
Formation energy from raw total energies, eV/atom: -0.727
Symmetry: R-3m, No. 166


Computed, not measured: a geometry-optimized TcTeRh2W structure at the PBE level of DFT.

a b c (Å): 4.746 4.695 4.746
angles (deg): 90.00 90.00 90.00
Element x y z (fractional)
Rh (0.500, 0.000, 0.000)
Rh (0.000, 0.000, 0.500)
Tc (0.000, 0.000, 0.000)
W (0.000, 0.500, 0.000)
Te (0.500, 0.500, 0.500)

Properties
Formation energy from raw total energies, eV/atom: 1.393
Symmetry: P4/mmm, No. 123


Computed, not measured: a geometry-optimized Th2TcRh structure at the PBE level of DFT.

a b c (Å): 3.595 3.595 7.035
angles (deg): 90.00 90.00 90.00
Element x y z (fractional)
Th (0.000, 0.000, 0.750)
Tc (0.500, 0.500, 0.500)
Rh (0.500, 0.500, 0.000)
Th (0.000, 0.000, 0.250)

Properties
Final energy, eV per atom: -8.550
Symmetry: P4/mmm, No. 123


Computed, not measured: a geometry-optimized Th2TcRh structure at the PBE level of DFT.

a b c (Å): 3.708 3.708 9.136
angles (deg): 78.29 78.29 60.00
Element x y z (fractional)
Th (0.096, 0.096, 0.713)
Tc (0.000, 0.000, 0.000)
Rh (0.500, 0.500, 0.500)
Th (0.904, 0.904, 0.287)

Properties
Final energy, eV per atom: -7.904
Symmetry: R-3m, No. 166


Computed, not measured: a geometry-optimized Th4TcRh2 structure at the PBE level of DFT.

a b c (Å): 4.016 12.309 14.313
angles (deg): 90.00 90.00 90.00
Element x y z (fractional)
Th (0.250, 0.188, 0.470)
Th (0.250, 0.738, 0.300)
Th (0.250, 0.688, 0.030)
Th (0.250, 0.990, 0.689)
Th (0.750, 0.510, 0.189)
Rh (0.250, 0.385, 0.593)
Th (0.250, 0.238, 0.200)
Rh (0.250, 0.441, 0.063)
Th (0.750, 0.048, 0.895)
Tc (0.250, 0.714, 0.667)
Th (0.250, 0.952, 0.105)
Rh (0.750, 0.115, 0.093)
Rh (0.750, 0.559, 0.937)
Tc (0.750, 0.786, 0.167)
Th (0.250, 0.452, 0.395)
Th (0.750, 0.312, 0.970)
Th (0.750, 0.762, 0.800)
Tc (0.750, 0.286, 0.333)
Th (0.750, 0.812, 0.530)
Tc (0.250, 0.214, 0.833)
Th (0.250, 0.490, 0.811)
Th (0.750, 0.010, 0.311)
Th (0.750, 0.548, 0.605)
Rh (0.750, 0.615, 0.407)
Th (0.750, 0.262, 0.700)
Rh (0.250, 0.941, 0.437)
Rh (0.750, 0.059, 0.563)
Rh (0.250, 0.885, 0.907)

Properties
Final energy, eV per atom: -8.364
Symmetry: Pnma, No. 62


Computed, not measured: a geometry-optimized TmThTcRh structure at the PBE level of DFT.

a b c (Å): 4.912 4.912 4.912
angles (deg): 60.00 60.00 60.00
Element x y z (fractional)
Rh (0.000, 0.000, 0.000)
Tc (0.500, 0.500, 0.500)
Th (0.250, 0.250, 0.250)
Tm (0.750, 0.750, 0.750)

Properties
Final energy, eV per atom: -7.876
Symmetry: F-43m, No. 216